Below is a relaxed PrOsRu crystal, with properties calculated at the PBE level.

Computed properties:
The value obtained for the density of states at the Fermi level is 1.298 states/eV per atom. Its offset from the most stable computed form is 0.000 eV/f.u. The calculation puts the total energy at -8.504 eV/atom.

Cell: 5.211 5.640 7.820 Å, 90.00 90.00 90.00°
Space group Imma (No. 74)
One atom of each set of equivalent atoms:
1 Pr 0.000 0.250 0.124 [4 per cell]
2 Os 0.250 0.250 0.750 [4 per cell]
3 Ru 0.000 0.000 0.500 [4 per cell]

***

Below is a relaxed Pr3Al4Ir4 crystal, with properties calculated at the PBE level.

Computed properties:
The value obtained for the density of states at the Fermi level is 0.531 states/eV per atom. The calculation puts the total energy at -6.557 eV/atom.

Cell: 7.737 7.737 7.737 Å, 90.00 90.00 90.00°
Space group I-43m (No. 217)
One atom of each set of equivalent atoms:
1 Pr 0.000 0.000 0.500 [6 per cell]
2 Al 0.131 0.131 0.869 [8 per cell]
3 Ir 0.187 0.187 0.187 [8 per cell]

***

Question: The lowest density of states at the Fermi level belongs to which entry?
Answer: Pr3Al4Ir4